DFT (PBE-GGA) results for a relaxed structure of Dy7Sn2Ru2.

```
Dy7Sn2Ru2
1.0
-1.7829 -5.1792 -3.9759
2.2604 -4.5989 4.9770
-5.4073 1.4563 3.8015
Dy Ru Sn
7 2 2
Cartesian
-2.7867 -7.9094 1.6676
-2.1431 -0.4124 3.1350
0.8084 -6.0480 1.7548
-3.0650 -2.9399 1.0799
-5.7382 -2.2738 3.0478
0.0000 0.0000 0.0000
-1.8648 -5.3818 3.7226
-2.0987 -5.0615 6.5293
-2.8311 -3.2603 -1.7268
-4.7542 -5.3462 2.3457
-0.1756 -2.9756 2.4568
```

V ... 28.5 Å³/atom
Crystal system ... orthorhombic
Total magnetic moment ... 0.000 μB/f.u.
Calculated formation energy ... -344 meV per atom